*a*
VASP calculation (PBE) on an optimized crystal structure of BPS.

```
BPS
1.0
3.5223 0.0000 0.0000
0.3922 4.5285 0.0000
0.5371 0.1432 7.0409
B S P
2 2 2
direct
0.5548 0.9112 0.6852 B
0.5270 0.2881 0.6786 B
0.0710 0.1056 0.0735 S
0.6355 0.5852 0.5143 S
0.3886 0.4336 0.9356 P
0.0564 0.8308 0.8371 P
```

*b*
VASP calculation (PBE) on an optimized crystal structure of BPS.

Summary:
The calculation puts the density of states at the Fermi level at 0.13 states/eV per cell.

```
BPS
1.0
-3.5028 2.5747 -0.3568
-3.1398 -1.4879 -2.8436
-4.8234 -3.6867 3.7226
P B S
2 2 2
direct
0.9029 0.6806 0.1794 P
0.6367 0.5092 0.0324 P
0.3766 0.3583 0.2868 B
0.4947 0.9256 0.3341 B
0.0354 0.0651 0.9658 S
0.3203 0.6157 0.4774 S
```

It is *a* that is the most stable of them.

*a*
VASP calculation (PBE) on an optimized crystal structure of BPS3.

Summary:
The calculation puts the density of states at the Fermi level at 3.33 states/eV per cell.

```
BPS3
1.0
-3.7112 1.7514 -0.5166
-1.1411 -1.3110 3.7532
1.4256 3.5102 1.6595
P S B
1 3 1
direct
0.5000 0.5000 0.5000 P
0.0000 0.5000 0.0000 S
0.5000 0.0000 0.0000 S
0.0000 0.0000 0.5000 S
0.0000 0.0000 0.0000 B
```

*b*
VASP calculation (PBE) on an optimized crystal structure of BPS3.

Summary:
The calculation puts the density of states at the Fermi level at 2.66 states/eV per cell.

```
BPS3
1.0
3.0718 0.0000 0.0000
0.0000 10.8337 0.0000
-1.5359 0.0000 9.0615
B S P
2 6 2
direct
0.3323 0.3660 0.6647 B
0.6677 0.8660 0.3353 B
0.8789 0.4198 0.7578 S
0.4058 0.8393 0.8115 S
0.7485 0.7646 0.4971 S
0.2515 0.2646 0.5029 S
0.5942 0.3393 0.1885 S
0.1211 0.9198 0.2422 S
0.1668 0.4045 0.3336 P
0.8332 0.9045 0.6664 P
```

*c*
VASP calculation (PBE) on an optimized crystal structure of BPS3.

Summary:
The calculation puts the density of states at the Fermi level at 8.08 states/eV per cell.

```
BPS3
1.0
4.5139 0.0000 0.0000
0.0000 4.5139 0.0000
0.0000 0.0000 4.5139
P B S
1 1 3
direct
0.0000 0.0000 0.0000 P
0.5000 0.5000 0.5000 B
0.0000 0.5000 0.0000 S
0.5000 0.0000 0.0000 S
0.0000 0.0000 0.5000 S
```

It is *b* that is the most stable of them.

*a*
VASP calculation (PBE) on an optimized crystal structure of BSbPS2.

Summary:
The calculation puts the density of states at the Fermi level at 5.36 states/eV per cell.

```
BSbPS2
1.0
5.0205 0.0000 0.0000
0.0000 5.0205 0.0000
0.0000 0.0000 5.1053
B Sb S P
1 1 2 1
direct
0.5000 0.5000 0.5000 B
0.0000 0.0000 0.0000 Sb
0.0000 0.5000 0.0000 S
0.5000 0.0000 0.0000 S
0.0000 0.0000 0.5000 P
```

*b*
VASP calculation (PBE) on an optimized crystal structure of BSbPS2.

Summary:
The calculation puts the density of states at the Fermi level at 3.37 states/eV per cell.

```
BSbPS2
1.0
-3.0564 -2.2572 2.0125
2.9579 -2.8266 1.3219
0.6210 2.2944 3.5166
Sb P S B
1 1 2 1
direct
0.5000 0.5000 0.5000 Sb
0.0000 0.0000 0.5000 P
0.0000 0.5000 0.0000 S
0.5000 0.0000 0.0000 S
0.0000 0.0000 0.0000 B
```

It is *b* that is the most stable of them.

*a*
VASP calculation (PBE) on an optimized crystal structure of ScBP2S.

Summary:
The calculation puts the density of states at the Fermi level at 3.96 states/eV per cell.

```
ScBP2S
1.0
-0.7469 3.6478 3.2640
-4.7064 -1.4427 0.5354
1.3220 -2.9689 3.6206
Sc P S B
1 2 1 1
direct
0.0000 0.0000 0.0000 Sc
0.5000 0.0000 0.0000 P
0.0000 0.5000 0.0000 P
0.0000 0.0000 0.5000 S
0.5000 0.5000 0.5000 B
```

*b*
VASP calculation (PBE) on an optimized crystal structure of ScBP2S.

Summary:
The calculation puts the density of states at the Fermi level at 2.05 states/eV per cell.

```
ScBP2S
1.0
3.8928 0.0000 0.0000
0.0000 3.8928 0.0000
0.0000 0.0000 5.2333
B Sc P S
1 1 2 1
direct
0.0000 0.0000 0.0000 B
0.5000 0.5000 0.5000 Sc
0.0000 0.5000 0.0000 P
0.5000 0.0000 0.0000 P
0.0000 0.0000 0.5000 S
```

It is *b* that is the most stable of them.

*a*
VASP calculation (PBE) on an optimized crystal structure of BP2SeS.

Summary:
The calculation puts the density of states at the Fermi level at 4.49 states/eV per cell.

```
BP2SeS
1.0
4.8116 0.0000 0.0000
0.0000 4.8116 0.0000
0.0000 0.0000 4.7948
P B S Se
2 1 1 1
direct
0.0000 0.5000 0.0000 P
0.5000 0.0000 0.0000 P
0.5000 0.5000 0.5000 B
0.0000 0.0000 0.5000 S
0.0000 0.0000 0.0000 Se
```

*b*
VASP calculation (PBE) on an optimized crystal structure of BP2SeS.

Summary:
The calculation puts the density of states at the Fermi level at 3.42 states/eV per cell.

```
BP2SeS
1.0
-4.2749 0.1658 0.0902
-0.1888 -3.7638 -2.0271
0.0008 -1.9113 3.5487
P B Se S
2 1 1 1
direct
0.0000 0.5000 0.0000 P
0.5000 0.0000 0.0000 P
0.0000 0.0000 0.0000 B
0.5000 0.5000 0.5000 Se
0.0000 0.0000 0.5000 S
```

It is *b* that is the most stable of them.

*a*
VASP calculation (PBE) on an optimized crystal structure of SiBP2S.

Summary:
The calculation puts the density of states at the Fermi level at 2.76 states/eV per cell.

```
SiBP2S
1.0
4.4924 0.0000 0.0000
0.0000 4.4924 0.0000
0.0000 0.0000 4.4822
P S Si B
2 1 1 1
direct
0.5000 0.0000 0.0000 P
0.0000 0.5000 0.0000 P
0.0000 0.0000 0.5000 S
0.0000 0.0000 0.0000 Si
0.5000 0.5000 0.5000 B
```

*b*
VASP calculation (PBE) on an optimized crystal structure of SiBP2S.

Summary:
The calculation puts the density of states at the Fermi level at 2.44 states/eV per cell.

```
SiBP2S
1.0
4.1454 0.0000 0.0000
0.0000 4.1454 0.0000
0.0000 0.0000 4.1043
S B P Si
1 1 2 1
direct
0.0000 0.0000 0.5000 S
0.0000 0.0000 0.0000 B
0.0000 0.5000 0.0000 P
0.5000 0.0000 0.0000 P
0.5000 0.5000 0.5000 Si
```

It is *b* that is the most stable of them.